1.
A plane-wave DFT calculation with PBE was carried out for an optimized crystal structure of Zr2PCl2.

a b c (Å): 3.7252 3.7252 10.1196
angles (deg): 79.39 79.39 60.00
Closest atoms and distances in Å follow each position.
Element x y z (fractional)
Zr 0.6210 0.6210 0.1370  3 P 2.54, 3 Cl 2.74
Zr 0.3790 0.3790 0.8630  3 P 2.54, 3 Cl 2.74
P 0.0000 0.0000 0.0000  6 Zr 2.54
Cl 0.2302 0.2302 0.3094  3 Zr 2.74
Cl 0.7698 0.7698 0.6906  3 Zr 2.74

Results
* electronic total energy: -6.791 eV per atom
* formation energy from raw total energies: -7.8 eV per formula unit
* total magnetic moment: 0.0 μB per formula unit
* V: 118.8 Å³/f.u.

***

2.
A plane-wave DFT calculation with PBE was carried out for an optimized crystal structure of ZrP2Cl.

a b c (Å): 4.6779 4.6779 7.5833
angles (deg): 77.52 77.52 42.95
Closest atoms and distances in Å follow each position.
Element x y z (fractional)
Cl 0.8318 0.8318 0.6636  2 Zr 2.59
P 0.0347 0.0347 0.1214  1 P 2.10
P 0.1841 0.1841 0.3031  1 P 2.10
Zr 0.4494 0.4494 0.4118  2 Cl 2.59, 5 P 2.63-2.75

Results
* electronic total energy: -6.041 eV per atom
* formation energy from raw total energies: -2.9 eV per formula unit
* total magnetic moment: 0.0 μB per formula unit
* V: 110.0 Å³/f.u.

***

3.
A plane-wave DFT calculation with PBE was carried out for an optimized crystal structure of Zr2PCl.

a b c (Å): 3.2729 3.2731 7.4970
angles (deg): 64.09 90.00 90.00
Closest atoms and distances in Å follow each position.
Element x y z (fractional)
Cl 0.5000 0.2500 0.2500  8 Zr 2.98, 4 Cl 3.27
P 0.5000 0.7500 0.7500  8 Zr 2.75
Zr 0.0000 0.0292 0.9710  4 P 2.75, 1 Zr 2.98, 4 Cl 2.98
Zr 0.0000 0.4708 0.5290  4 P 2.75, 1 Zr 2.98, 4 Cl 2.98

Results
* electronic total energy: -6.979 eV per atom
* formation energy from raw total energies: -3.6 eV per formula unit
* total magnetic moment: 0.0 μB per formula unit
* V: 72.2 Å³/f.u.

***

4.
A plane-wave DFT calculation with PBE was carried out for an optimized crystal structure of ZrPCl.

a b c (Å): 6.9272 6.9272 6.9272
angles (deg): 152.49 152.49 39.30
Closest atoms and distances in Å follow each position.
Element x y z (fractional)
Zr 0.3185 0.3185 0.0000  4 P 2.64
P 0.7229 0.7229 0.0000  4 Zr 2.64
Cl 0.9586 0.9586 0.0000  4 Zr 2.96, 1 P 3.07, 4 Cl 3.29

Results
* electronic total energy: -6.106 eV per atom
* formation energy from raw total energies: -2.5 eV per formula unit
* total magnetic moment: 0.0 μB per formula unit
* V: 70.8 Å³/f.u.

***

5.
A plane-wave DFT calculation with PBE was carried out for an optimized crystal structure of ZrP4Cl.

a b c (Å): 5.2270 5.2270 5.2270
angles (deg): 60.00 60.00 60.00
Closest atoms and distances in Å follow each position.
Element x y z (fractional)
Zr 0.2500 0.2500 0.2500  12 P 3.04, 4 Cl 3.20
P 0.6149 0.6149 0.1552  3 P 2.40
P 0.6149 0.1552 0.6149  3 P 2.40
P 0.6149 0.6149 0.6149  3 P 2.40
P 0.1552 0.6149 0.6149  3 P 2.40
Cl 0.0000 0.0000 0.0000  12 P 3.09, 4 Zr 3.20

Results
* electronic total energy: -5.262 eV per atom
* formation energy from raw total energies: 0.5 eV per formula unit
* total magnetic moment: 0.0 μB per formula unit
* V: 101.0 Å³/f.u.

***

6.
A plane-wave DFT calculation with PBE was carried out for an optimized crystal structure of ZrP2Cl.

a b c (Å): 3.5959 3.5517 6.9993
angles (deg): 59.62 90.00 90.00
Closest atoms and distances in Å follow each position.
Element x y z (fractional)
Cl 0.5000 0.7500 0.7500  2 Zr 3.02, 8 P 3.17
P 0.0000 0.9323 0.0671  1 P 2.21
P 0.0000 0.5677 0.4329  1 P 2.21
Zr 0.5000 0.2500 0.2500  8 P 2.76, 2 Cl 3.02

Results
* electronic total energy: -5.939 eV per atom
* formation energy from raw total energies: -2.5 eV per formula unit
* total magnetic moment: 0.0 μB per formula unit
* V: 77.1 Å³/f.u.

***

7.
A plane-wave DFT calculation with PBE was carried out for an optimized crystal structure of ZrPCl.

a b c (Å): 3.5257 3.5256 22.3499
angles (deg): 90.00 98.85 90.00
Closest atoms and distances in Å follow each position.
Element x y z (fractional)
Zr 0.4620 0.0000 0.2637  2 Cl 2.61, 5 P 2.68-2.71
Zr 0.4620 0.5000 0.7637  2 Cl 2.61, 5 P 2.68-2.71
Zr 0.7989 0.0000 0.5963  2 Cl 2.61, 5 P 2.68-2.71
Zr 0.7989 0.5000 0.0963  2 Cl 2.61, 5 P 2.68-2.71
P 0.9187 0.0000 0.7193  5 Zr 2.68-2.71
P 0.9187 0.5000 0.2193  5 Zr 2.68-2.71
P 0.3423 0.0000 0.1408  5 Zr 2.68-2.71
P 0.3423 0.5000 0.6408  5 Zr 2.68-2.71
Cl 0.2135 0.0000 0.5089  2 Zr 2.61
Cl 0.2135 0.5000 0.0089  2 Zr 2.61
Cl 0.5468 0.0000 0.8512  2 Zr 2.61
Cl 0.5468 0.5000 0.3512  2 Zr 2.61

Results
* electronic total energy: -6.595 eV per atom
* formation energy from raw total energies: -4.0 eV per formula unit
* total magnetic moment: 0.0 μB per formula unit
* V: 68.6 Å³/f.u.

***

8.
A plane-wave DFT calculation with PBE was carried out for an optimized crystal structure of ZrPCl2.

a b c (Å): 11.2422 11.2422 11.2422
angles (deg): 16.43 16.43 16.43
Closest atoms and distances in Å follow each position.
Element x y z (fractional)
Cl 0.0280 0.0280 0.0280  3 Zr 2.61
Cl 0.4720 0.4720 0.4720  3 Zr 2.61
P 0.2500 0.2500 0.2500  6 P 3.21
Zr 0.7500 0.7500 0.7500  6 Cl 2.61

Results
* electronic total energy: -4.942 eV per atom
* formation energy from raw total energies: -2.1 eV per formula unit
* total magnetic moment: 0.7 μB per formula unit
* V: 99.1 Å³/f.u.

***

Question: What is the electronic total energy in the seventh record?
Answer: -6.595 eV per atom

***

Question: Among the records above, which one has the highest total magnetic moment?
Answer: ZrPCl2

***

Question: Among the records above, which one has the lowest V?
Answer: number 7

***

Question: Look up the formation energy from raw total energies of the fifth one.
Answer: 0.5 eV per formula unit